Entry 1:
# ErTm2NiIr2Pb3

A relaxed ErTm2NiIr2Pb3 crystal (PBE, OQMD via LeMat-Bulk).

Symmetry: Amm2, No. 38
Crystal system: orthorhombic

a = 3.7057 Å, b = 7.7345 Å, c = 7.7345 Å
α = 120.05°, β = 90.00°, γ = 90.00°
Last column: nearest neighbours and their distance in Å.
Element x y z (fractional)
Er (0.0000, 0.0000, 0.0000)  4 Ir 2.99, 1 Ni 3.15, 6 Pb 3.18-3.33
Tm (0.0000, 0.4076, 0.8153)  4 Ir 2.98, 1 Ni 3.15, 6 Pb 3.18-3.33
Tm (0.0000, 0.8153, 0.4076)  4 Ir 2.98, 1 Ni 3.15, 6 Pb 3.18-3.33
Ni (0.0000, 0.4079, 0.4079)  6 Pb 2.72-2.73
Ir (0.5000, 0.0745, 0.7401)  3 Pb 2.90-2.91, 4 Tm 2.98, 2 Er 2.99
Ir (0.5000, 0.7401, 0.0745)  3 Pb 2.90-2.91, 4 Tm 2.98, 2 Er 2.99
Pb (0.5000, 0.1490, 0.4076)  2 Ni 2.73, 2 Ir 2.90-2.91
Pb (0.5000, 0.4076, 0.1490)  2 Ni 2.73, 2 Ir 2.90-2.91
Pb (0.5000, 0.6662, 0.6662)  2 Ni 2.72, 2 Ir 2.91

Entry 2:
# Er2ScNiSn3Ir2

A relaxed Er2ScNiSn3Ir2 crystal (PBE, OQMD via LeMat-Bulk).

Symmetry: Amm2, No. 38
Crystal system: orthorhombic

a = 3.6412 Å, b = 7.5145 Å, c = 7.5145 Å
α = 119.76°, β = 90.00°, γ = 90.00°
Last column: nearest neighbours and their distance in Å.
Element x y z (fractional)
Er (0.0000, 0.2024, 0.7976)  4 Ir 2.94-2.95, 1 Ni 3.04, 6 Sn 3.13-3.25
Er (0.0000, 0.7976, 0.2024)  4 Ir 2.94-2.95, 1 Ni 3.04, 6 Sn 3.13-3.25
Sc (0.0000, 0.3937, 0.3937)  4 Ir 2.88, 1 Ni 3.04, 6 Sn 3.11-3.21
Ni (0.0000, 0.7969, 0.7969)  6 Sn 2.65-2.69
Sn (0.5000, 0.0595, 0.0595)  2 Ni 2.69, 2 Ir 2.79
Sn (0.5000, 0.5390, 0.7944)  2 Ni 2.65, 2 Ir 2.80-2.90
Sn (0.5000, 0.7944, 0.5390)  2 Ni 2.65, 2 Ir 2.80-2.90
Ir (0.5000, 0.1373, 0.4627)  3 Sn 2.79-2.90, 2 Sc 2.88, 4 Er 2.94-2.95
Ir (0.5000, 0.4627, 0.1373)  3 Sn 2.79-2.90, 2 Sc 2.88, 4 Er 2.94-2.95

Entry 3:
# Er3Ni2Sn3Ir

A relaxed Er3Ni2Sn3Ir crystal (PBE, OQMD via LeMat-Bulk).

Symmetry: P-62m, No. 189
Crystal system: hexagonal

a = 7.2764 Å, b = 7.2764 Å, c = 3.9802 Å
α = 90.00°, β = 90.00°, γ = 120.00°
Last column: nearest neighbours and their distance in Å.
Element x y z (fractional)
Er (0.0000, 0.4059, 0.0000)  1 Ir 2.95, 4 Ni 2.97, 6 Sn 3.11-3.27
Er (0.4059, 0.0000, 0.0000)  1 Ir 2.95, 4 Ni 2.97, 6 Sn 3.11-3.27
Er (0.5941, 0.5941, 0.0000)  1 Ir 2.95, 4 Ni 2.97, 6 Sn 3.11-3.27
Ni (0.3333, 0.6667, 0.5000)  3 Sn 2.71, 6 Er 2.97
Ni (0.6667, 0.3333, 0.5000)  3 Sn 2.71, 6 Er 2.97
Sn (0.0000, 0.7343, 0.5000)  2 Ni 2.71, 2 Ir 2.77
Sn (0.2657, 0.2657, 0.5000)  2 Ni 2.71, 2 Ir 2.77
Sn (0.7343, 0.0000, 0.5000)  2 Ni 2.71, 2 Ir 2.77
Ir (0.0000, 0.0000, 0.0000)  6 Sn 2.77, 3 Er 2.95

Entry 4:
# Tb2ErNiSn3Ir2

A relaxed Tb2ErNiSn3Ir2 crystal (PBE, OQMD via LeMat-Bulk).

Symmetry: Amm2, No. 38
Crystal system: orthorhombic

a = 3.8162 Å, b = 7.5011 Å, c = 7.5011 Å
α = 119.95°, β = 90.00°, γ = 90.00°
Last column: nearest neighbours and their distance in Å.
Element x y z (fractional)
Tb (0.0000, 0.2029, 0.7971)  4 Ir 2.97, 1 Ni 3.04, 6 Sn 3.18-3.28
Tb (0.0000, 0.7971, 0.2029)  4 Ir 2.97, 1 Ni 3.04, 6 Sn 3.18-3.28
Er (0.0000, 0.3915, 0.3915)  4 Ir 2.97, 1 Ni 3.04, 6 Sn 3.18-3.28
Ni (0.0000, 0.7969, 0.7969)  6 Sn 2.70-2.71
Sn (0.5000, 0.0528, 0.0528)  2 Ni 2.71, 2 Ir 2.84
Sn (0.5000, 0.5416, 0.7968)  2 Ni 2.70, 2 Ir 2.84
Sn (0.5000, 0.7968, 0.5416)  2 Ni 2.70, 2 Ir 2.84
Ir (0.5000, 0.1309, 0.4636)  3 Sn 2.84, 2 Er 2.97, 4 Tb 2.97
Ir (0.5000, 0.4636, 0.1309)  3 Sn 2.84, 2 Er 2.97, 4 Tb 2.97

Entry 5:
# Er2TmNiSn3Ir2

A relaxed Er2TmNiSn3Ir2 crystal (PBE, OQMD via LeMat-Bulk).

Symmetry: Amm2, No. 38
Crystal system: orthorhombic

a = 3.7119 Å, b = 7.5403 Å, c = 7.5403 Å
α = 119.88°, β = 90.00°, γ = 90.00°
Last column: nearest neighbours and their distance in Å.
Element x y z (fractional)
Er (0.0000, 0.2035, 0.7965)  4 Ir 2.95, 1 Ni 3.07, 6 Sn 3.14-3.27
Er (0.0000, 0.7965, 0.2035)  4 Ir 2.95, 1 Ni 3.07, 6 Sn 3.14-3.27
Tm (0.0000, 0.3896, 0.3896)  4 Ir 2.94, 1 Ni 3.07, 6 Sn 3.14-3.26
Ni (0.0000, 0.7959, 0.7959)  6 Sn 2.68-2.69
Sn (0.5000, 0.0539, 0.0539)  2 Ni 2.69, 2 Ir 2.84
Sn (0.5000, 0.5395, 0.7956)  2 Ni 2.68, 2 Ir 2.84-2.86
Sn (0.5000, 0.7956, 0.5395)  2 Ni 2.68, 2 Ir 2.84-2.86
Ir (0.5000, 0.1311, 0.4627)  3 Sn 2.84-2.86, 2 Tm 2.94, 4 Er 2.95
Ir (0.5000, 0.4627, 0.1311)  3 Sn 2.84-2.86, 2 Tm 2.94, 4 Er 2.95

Entry 6:
# Er3Zn3Ni2Ir

A relaxed Er3Zn3Ni2Ir crystal (PBE, OQMD via LeMat-Bulk).

Symmetry: P-62m, No. 189
Formation enthalpy at 0 K (eV per atom): -0.53
Crystal system: hexagonal

a = 7.0067 Å, b = 7.0067 Å, c = 3.8186 Å
α = 90.00°, β = 90.00°, γ = 120.00°
Last column: nearest neighbours and their distance in Å.
Element x y z (fractional)
Er (0.0000, 0.4062, 0.0000)  1 Ir 2.85, 4 Ni 2.86, 6 Zn 3.04-3.14
Er (0.4062, 0.0000, 0.0000)  1 Ir 2.85, 4 Ni 2.86, 6 Zn 3.04-3.14
Er (0.5938, 0.5938, 0.0000)  1 Ir 2.85, 4 Ni 2.86, 6 Zn 3.04-3.14
Zn (0.0000, 0.7440, 0.5000)  2 Ir 2.62, 2 Ni 2.65
Zn (0.2560, 0.2560, 0.5000)  2 Ir 2.62, 2 Ni 2.65
Zn (0.7440, 0.0000, 0.5000)  2 Ir 2.62, 2 Ni 2.65
Ni (0.3333, 0.6667, 0.5000)  3 Zn 2.65, 6 Er 2.86
Ni (0.6667, 0.3333, 0.5000)  3 Zn 2.65, 6 Er 2.86
Ir (0.0000, 0.0000, 0.0000)  6 Zn 2.62, 3 Er 2.85

Entry 7:
# ErNpIr

A relaxed ErNpIr crystal (PBE, OQMD via LeMat-Bulk).

Symmetry: F-43m, No. 216
Formation enthalpy at 0 K (eV per atom): -0.26
Crystal system: cubic

a = 4.7138 Å, b = 4.7138 Å, c = 4.7138 Å
α = 60.00°, β = 60.00°, γ = 60.00°
Last column: nearest neighbours and their distance in Å.
Element x y z (fractional)
Er (0.0000, 0.0000, 0.0000)  4 Ir 2.89
Np (0.5000, 0.5000, 0.5000)  4 Ir 2.89
Ir (0.2500, 0.2500, 0.2500)  4 Er 2.89, 4 Np 2.89

Entry 8:
# ErIr2O4

A relaxed ErIr2O4 crystal (PBE, OQMD via LeMat-Bulk).

Symmetry: Fd-3m, No. 227
Crystal system: cubic

a = 6.3556 Å, b = 6.3556 Å, c = 6.3556 Å
α = 60.00°, β = 60.00°, γ = 60.00°
Last column: nearest neighbours and their distance in Å.
Element x y z (fractional)
Er (0.1250, 0.1250, 0.1250)  4 O 2.20
Er (0.8750, 0.8750, 0.8750)  4 O 2.20
Ir (0.0000, 0.5000, 0.5000)  6 O 2.11
Ir (0.5000, 0.0000, 0.5000)  6 O 2.11
Ir (0.5000, 0.5000, 0.0000)  6 O 2.11
Ir (0.5000, 0.5000, 0.5000)  6 O 2.11
O (0.2664, 0.2664, 0.2664)  3 Ir 2.11, 1 Er 2.20
O (0.2664, 0.2664, 0.7009)  3 Ir 2.11, 1 Er 2.20
O (0.2664, 0.7009, 0.2664)  3 Ir 2.11, 1 Er 2.20
O (0.2991, 0.7336, 0.7336)  3 Ir 2.11, 1 Er 2.20
O (0.7009, 0.2664, 0.2664)  3 Ir 2.11, 1 Er 2.20
O (0.7336, 0.2991, 0.7336)  3 Ir 2.11, 1 Er 2.20
O (0.7336, 0.7336, 0.2991)  3 Ir 2.11, 1 Er 2.20
O (0.7336, 0.7336, 0.7336)  3 Ir 2.11, 1 Er 2.20

Entry 9:
# Er2Ir2O5

A relaxed Er2Ir2O5 crystal (PBE, OQMD via LeMat-Bulk).

Symmetry: P4/mmm, No. 123
Offset from the most stable computed form (kcal/mol of atoms): 5.01
Crystal system: tetragonal

a = 3.5896 Å, b = 3.5896 Å, c = 9.1151 Å
α = 90.00°, β = 90.00°, γ = 90.00°
Last column: nearest neighbours and their distance in Å.
Element x y z (fractional)
Er (0.0000, 0.0000, 0.2346)  5 O 2.14-2.18
Er (0.0000, 0.0000, 0.7654)  5 O 2.14-2.18
Ir (0.5000, 0.5000, 0.0000)  4 O 2.54
Ir (0.5000, 0.5000, 0.5000)  8 O 2.14
O (0.0000, 0.0000, 0.0000)  2 Er 2.14
O (0.0000, 0.5000, 0.3712)  2 Ir 2.14, 2 Er 2.18, 1 O 2.35
O (0.0000, 0.5000, 0.6288)  2 Ir 2.14, 2 Er 2.18, 1 O 2.35
O (0.5000, 0.0000, 0.3712)  2 Ir 2.14, 2 Er 2.18, 1 O 2.35
O (0.5000, 0.0000, 0.6288)  2 Ir 2.14, 2 Er 2.18, 1 O 2.35

Entry 10:
# Er2Ir2O5

A relaxed Er2Ir2O5 crystal (PBE, OQMD via LeMat-Bulk).

Symmetry: P4/mmm, No. 123
Offset from the most stable computed form (kcal/mol of atoms): 0.00
Crystal system: tetragonal

a = 3.8963 Å, b = 3.8963 Å, c = 6.9725 Å
α = 90.00°, β = 90.00°, γ = 90.00°
Last column: nearest neighbours and their distance in Å.
Element x y z (fractional)
Er (0.0000, 0.0000, 0.0000)  8 O 2.62
Er (0.0000, 0.0000, 0.5000)  12 O 2.61-2.76
Ir (0.5000, 0.5000, 0.1910)  5 O 1.99-2.15
Ir (0.5000, 0.5000, 0.8090)  5 O 1.99-2.15
O (0.0000, 0.5000, 0.2515)  2 Ir 1.99
O (0.0000, 0.5000, 0.7485)  2 Ir 1.99
O (0.5000, 0.0000, 0.2515)  2 Ir 1.99
O (0.5000, 0.0000, 0.7485)  2 Ir 1.99
O (0.5000, 0.5000, 0.5000)  2 Ir 2.15

Entry 11:
# TbErP2Ir2O2

A relaxed TbErP2Ir2O2 crystal (PBE, OQMD via LeMat-Bulk).

Symmetry: P4mm, No. 99
Crystal system: tetragonal

a = 3.9456 Å, b = 3.9456 Å, c = 7.9952 Å
α = 90.00°, β = 90.00°, γ = 90.00°
Last column: nearest neighbours and their distance in Å.
Element x y z (fractional)
Tb (0.0000, 0.0000, 0.0000)  4 O 2.27
Er (0.5000, 0.5000, 0.7298)  4 O 2.23
P (0.0000, 0.0000, 0.5286)  4 Ir 2.37
P (0.5000, 0.5000, 0.1984)  4 Ir 2.37
Ir (0.0000, 0.5000, 0.3638)  4 P 2.37
Ir (0.5000, 0.0000, 0.3638)  4 P 2.37
O (0.0000, 0.5000, 0.8605)  2 Er 2.23, 2 Tb 2.27
O (0.5000, 0.0000, 0.8605)  2 Er 2.23, 2 Tb 2.27

Entry 12:
# ErIrSe2O

A relaxed ErIrSe2O crystal (PBE, OQMD via LeMat-Bulk).

Symmetry: C2/m, No. 12
Crystal system: monoclinic

a = 6.0771 Å, b = 6.0771 Å, c = 7.8493 Å
α = 93.55°, β = 93.55°, γ = 36.72°
Last column: nearest neighbours and their distance in Å.
Element x y z (fractional)
Er (0.2232, 0.2232, 0.3107)  3 O 2.23-2.25
Er (0.7768, 0.7768, 0.6893)  3 O 2.23-2.25
Ir (0.0000, 0.0000, 0.0000)  6 Se 2.49-2.53
Ir (0.5000, 0.5000, 0.5000)  2 O 2.11
Se (0.0548, 0.0548, 0.6985)  3 Ir 2.49-2.52
Se (0.3563, 0.3563, 0.9853)  2 Ir 2.53
Se (0.6437, 0.6437, 0.0147)  2 Ir 2.53
Se (0.9452, 0.9452, 0.3015)  3 Ir 2.49-2.52
O (0.3251, 0.3251, 0.5656)  1 Ir 2.11, 3 Er 2.23-2.25
O (0.6749, 0.6749, 0.4344)  1 Ir 2.11, 3 Er 2.23-2.25

Number 1: calculated total energy -5.870 eV per atom, magnetization 0.0003 μB per atom. Number 2: calculated total energy -6.422 eV per atom, magnetization 0.0001 μB per atom. Number 3: calculated total energy -5.798 eV per atom, magnetization 0.0004 μB per atom. Number 4: calculated total energy -6.251 eV per atom, magnetization 0.0002 μB per atom. Number 5: calculated total energy -6.236 eV per atom, magnetization 0.0001 μB per atom. Number 6: calculated total energy -4.693 eV per atom, magnetization 0.0006 μB per atom. Number 7: calculated total energy -8.985 eV per atom, magnetization 1.5492 μB per atom. Number 8: calculated total energy -7.100 eV per atom, magnetization 0.0001 μB per atom. Number 9: calculated total energy -7.176 eV per atom, magnetization 0.0619 μB per atom. Number 10: calculated total energy -7.393 eV per atom, magnetization 0.0003 μB per atom. Number 11: calculated total energy -7.931 eV per atom, magnetization 0.0047 μB per atom. Number 12: calculated total energy -6.609 eV per atom, magnetization 0.0002 μB per atom.